## LiVPO5 (meta-GGA SCAN)

Data for a crystal of LiVPO5 relaxed with PBEsol.

Cell lengths 4.417, 6.269, 6.269 Å; angles 88.59, 90.00, 90.00 degrees
Atoms (fractional coordinates):
Li 0.004 0.250 0.750
Li 0.996 0.750 0.250
V 0.414 0.997 0.497
V 0.586 0.497 0.997
P 0.500 0.497 0.497
P 0.500 0.997 0.997
O 0.221 0.495 0.995
O 0.292 0.695 0.493
O 0.292 0.993 0.195
O 0.293 0.002 0.799
O 0.293 0.299 0.502
O 0.707 0.502 0.299
O 0.707 0.799 0.002
O 0.708 0.195 0.993
O 0.708 0.493 0.695
O 0.779 0.995 0.495

Computed properties:
- crystal system = orthorhombic
- space-group type = No. 39
- calculated total energy (eV per cell) = -164.4
- energy above the lowest structure with this stoichiometry (meV per atom) = 6
- V (Å³ per atom) = 10.8
- formation energy from raw total energies (eV per atom) = -2.5935



## Li5V4P6O24 (meta-GGA SCAN)

Data for a crystal of Li5V4P6O24 relaxed with PBEsol.

Cell lengths 8.520, 8.571, 14.664 Å; angles 90.00, 125.16, 90.00 degrees
Atoms (fractional coordinates):
Li 0.000 0.027 0.000
Li 0.000 0.973 0.500
Li 0.047 0.473 0.641
Li 0.047 0.527 0.141
Li 0.338 0.444 0.557
Li 0.338 0.556 0.057
Li 0.414 0.159 0.124
Li 0.414 0.841 0.624
Li 0.651 0.325 0.518
Li 0.651 0.675 0.018
V 0.159 0.211 0.206
V 0.159 0.789 0.706
V 0.396 0.219 0.932
V 0.396 0.781 0.432
V 0.664 0.274 0.708
V 0.664 0.726 0.208
V 0.889 0.287 0.431
V 0.889 0.713 0.931
P 0.065 0.354 0.965
P 0.065 0.646 0.465
P 0.277 0.134 0.465
P 0.277 0.866 0.965
P 0.483 0.499 0.311
P 0.483 0.501 0.811
P 0.566 0.002 0.326
P 0.566 0.998 0.826
P 0.771 0.366 0.172
P 0.771 0.634 0.672
P 0.988 0.144 0.675
P 0.988 0.856 0.175
O 0.019 0.015 0.139
O 0.019 0.985 0.639
O 0.050 0.482 0.506
O 0.050 0.518 0.006
O 0.123 0.165 0.487
O 0.123 0.231 0.058
O 0.123 0.769 0.558
O 0.123 0.835 0.987
O 0.173 0.201 0.782
O 0.173 0.799 0.282
O 0.201 0.169 0.345
O 0.201 0.831 0.845
O 0.237 0.369 0.957
O 0.237 0.631 0.457
O 0.284 0.418 0.247
O 0.284 0.582 0.747
O 0.331 0.039 0.993
O 0.331 0.961 0.493
O 0.408 0.123 0.253
O 0.408 0.877 0.753
O 0.447 0.250 0.540
O 0.447 0.750 0.040
O 0.494 0.385 0.894
O 0.494 0.615 0.394
O 0.500 0.427 0.721
O 0.500 0.573 0.221
O 0.542 0.074 0.911
O 0.542 0.926 0.411
O 0.557 0.112 0.742
O 0.557 0.888 0.242
O 0.592 0.262 0.096
O 0.592 0.738 0.596
O 0.644 0.381 0.385
O 0.644 0.619 0.885
O 0.720 0.458 0.645
O 0.720 0.542 0.145
O 0.765 0.082 0.391
O 0.765 0.918 0.891
O 0.817 0.139 0.683
O 0.817 0.861 0.183
O 0.849 0.333 0.293
O 0.849 0.667 0.793
O 0.878 0.303 0.860
O 0.878 0.697 0.360
O 0.926 0.335 0.150
O 0.926 0.665 0.650
O 0.933 0.267 0.582
O 0.933 0.733 0.082

Computed properties:
- crystal system = monoclinic
- space-group type = No. 7
- calculated total energy (eV per cell) = -791.0
- V (Å³ per atom) = 11.2
- formation energy from raw total energies (eV per atom) = -2.6061